1.
CaHoTl (PBE-GGA, relaxed); size of the total moment = 0.0 μB/f.u.; formation enthalpy at 0 K = -197.8 meV/atom; distance to the lowest polymorph of the same formula = 0.34 eV/f.u.
1.0
3.561 0.000 0.000
0.000 3.561 0.000
-1.780 -1.780 14.968
Ca Ho Tl
2 2 2
direct
0.438 0.438 0.875
0.562 0.562 0.125
0.708 0.708 0.416
0.292 0.292 0.584
0.135 0.135 0.270
0.865 0.865 0.730

=====

2.
Ti2InNi (PBE-GGA, relaxed); size of the total moment = 0.0 μB/f.u.; formation enthalpy at 0 K = -29.4 meV/atom; distance to the lowest polymorph of the same formula = 0.81 eV/f.u.
1.0
-2.809 -1.323 0.145
0.545 -1.618 -4.190
5.343 -7.305 3.517
Ti In Ni
4 2 2
direct
0.754 0.250 0.509
0.027 0.250 0.053
0.246 0.750 0.491
0.973 0.750 0.947
0.392 0.250 0.784
0.608 0.750 0.216
0.841 0.750 0.682
0.159 0.250 0.318

=====

3.
ZnCo2Mo (PBE-GGA, relaxed); size of the total moment = 1.7 μB/f.u.; formation enthalpy at 0 K = 149.3 meV/atom
1.0
4.375 -0.003 0.005
3.588 2.504 0.005
0.630 0.198 4.665
Zn Mo Co
1 1 2
direct
0.250 0.250 0.250
0.750 0.750 0.750
0.998 0.998 0.995
0.502 0.502 0.505

=====

4.
BiTeI2O (PBE-GGA, relaxed); size of the total moment = 0.6 μB/f.u.; distance to the lowest polymorph of the same formula = 0.05 eV/f.u.; E_form (uncorrected) = 2.8 kJ/mol of atoms
1.0
-0.289 3.024 5.516
-3.210 -4.820 2.474
3.665 -1.828 1.194
I Te O Bi
2 1 1 1
direct
0.500 0.000 0.000
0.000 0.500 0.000
0.500 0.500 0.500
0.000 0.000 0.500
0.000 0.000 0.000

=====

5.
SrMn2Tc (PBE-GGA, relaxed); size of the total moment = 0.1 μB/f.u.; formation enthalpy at 0 K = 448.7 meV/atom; distance to the lowest polymorph of the same formula = 0.18 eV/f.u.
1.0
-1.926 3.241 1.602
-4.094 0.130 0.057
-2.012 -1.454 5.751
Sr Mn Tc
1 2 1
direct
0.504 0.504 0.488
0.984 0.984 0.049
0.314 0.314 0.058
0.698 0.698 0.905

=====

6.
CrTcN (PBE-GGA, relaxed); size of the total moment = 0.0 μB/f.u.; distance to the lowest polymorph of the same formula = 1.17 eV/f.u.; E_form (uncorrected) = 40.3 kJ/mol of atoms
1.0
-1.347 2.361 0.652
-1.728 -1.717 2.652
3.150 1.616 0.655
Cr Tc N
1 1 1
direct
0.167 0.000 0.000
0.667 0.333 0.667
0.167 0.667 0.333

=====

7.
AgHgAs2Br (PBE-GGA, relaxed); size of the total moment = 1.7 μB/f.u.; distance to the lowest polymorph of the same formula = 0.00 eV/f.u.; E_form (uncorrected) = 63.2 kJ/mol of atoms
1.0
5.105 0.000 0.000
0.000 5.105 0.000
0.000 0.000 5.446
Ag Br As Hg
1 1 2 1
direct
0.000 0.000 0.000
0.000 0.000 0.500
0.500 0.000 0.000
0.000 0.500 0.000
0.500 0.500 0.500

=====

8.
NaSm5Te8 (PBE-GGA, relaxed); size of the total moment = 0.0 μB/f.u.; distance to the lowest polymorph of the same formula = 0.91 eV/f.u.; E_form (uncorrected) = -127.1 kJ/mol of atoms
1.0
-3.835 6.717 5.066
-5.882 -2.130 6.808
2.524 1.153 8.820
Te Sm Na
8 5 1
direct
0.383 0.850 0.383
0.867 0.867 0.867
0.383 0.383 0.850
0.867 0.400 0.867
0.867 0.867 0.400
0.400 0.867 0.867
0.383 0.383 0.383
0.850 0.383 0.383
0.620 0.620 0.141
0.620 0.141 0.620
0.141 0.620 0.620
0.620 0.620 0.620
0.000 0.000 0.000
0.250 0.250 0.250